[1]
A relaxed structure of TbCePd4, computed with PBE.

The structure in CIF format:
```
data_TbCePd4
_cell_length_a 7.7459
_cell_length_b 7.7459
_cell_length_c 7.7459
_cell_angle_alpha 90.00
_cell_angle_beta 90.00
_cell_angle_gamma 90.00
_symmetry_space_group_name_H-M 'F -4 3 m'
_symmetry_Int_Tables_number 216
_symmetry_space_group_name_Hall 'F -4 2 3'
loop_
_atom_site_label
_atom_site_type_symbol
_atom_site_fract_x
_atom_site_fract_y
_atom_site_fract_z
Tb1 Tb 0.0000 0.0000 0.0000
Ce1 Ce 0.2500 0.2500 0.7500
Pd1 Pd 0.1252 0.1252 0.3748
```

Size of the total moment, μB/f.u.: 1.0
V, Å³ per cell: 465
Energy relative to the lowest polymorph listed for this composition, meV per atom: 78.2
Mass density, Mg/m³: 10.36
ΔH_f (0 K), eV/atom: -0.7408


[2]
A relaxed structure of Ce2TcPd, computed with PBE.

The structure in CIF format:
```
data_Ce2TcPd
_cell_length_a 3.4346
_cell_length_b 3.4346
_cell_length_c 7.3107
_cell_angle_alpha 90.00
_cell_angle_beta 90.00
_cell_angle_gamma 90.00
_symmetry_space_group_name_H-M 'P 4/m m m'
_symmetry_Int_Tables_number 123
_symmetry_space_group_name_Hall '-P 4 2'
loop_
_atom_site_label
_atom_site_type_symbol
_atom_site_fract_x
_atom_site_fract_y
_atom_site_fract_z
Ce1 Ce 0.0000 0.0000 0.2365
Tc1 Tc 0.5000 0.5000 0.0000
Pd1 Pd 0.5000 0.5000 0.5000
```

Size of the total moment, μB/f.u.: 0.7
V, Å³ per cell: 86
Mass density, Mg/m³: 9.33
ΔH_f (0 K), eV/atom: -0.3465


[3]
A relaxed structure of Ce2TcPd, computed with PBE.

The structure in CIF format:
```
data_Ce2TcPd
_cell_length_a 6.6443
_cell_length_b 3.4275
_cell_length_c 7.3987
_cell_angle_alpha 90.00
_cell_angle_beta 90.00
_cell_angle_gamma 90.00
_symmetry_space_group_name_H-M 'P m m a'
_symmetry_Int_Tables_number 51
_symmetry_space_group_name_Hall '-P 2a 2a'
loop_
_atom_site_label
_atom_site_type_symbol
_atom_site_fract_x
_atom_site_fract_y
_atom_site_fract_z
Ce1 Ce 0.0299 0.0000 0.2379
Tc1 Tc 0.2500 0.5000 0.9742
Pd1 Pd 0.2500 0.5000 0.5462
```

Size of the total moment, μB/f.u.: 0.0
V, Å³ per cell: 168
Mass density, Mg/m³: 9.55
ΔH_f (0 K), eV/atom: -0.3638


[4]
A relaxed structure of Ce6Tc2Pd, computed with PBE.

The structure in CIF format:
```
data_Ce6Tc2Pd
_cell_length_a 10.0841
_cell_length_b 4.9761
_cell_length_c 8.5102
_cell_angle_alpha 90.00
_cell_angle_beta 98.85
_cell_angle_gamma 90.00
_symmetry_space_group_name_H-M 'C 1 2/m 1'
_symmetry_Int_Tables_number 12
_symmetry_space_group_name_Hall '-C 2y'
loop_
_atom_site_label
_atom_site_type_symbol
_atom_site_fract_x
_atom_site_fract_y
_atom_site_fract_z
Ce1 Ce 0.0443 0.0000 0.3493
Ce2 Ce 0.1143 0.5000 0.6778
Ce3 Ce 0.1840 0.5000 0.1007
Tc1 Tc 0.2243 0.5000 0.3810
Pd1 Pd 0.0000 0.0000 0.0000
```

Size of the total moment, μB/f.u.: 0.0
V, Å³ per cell: 422
Mass density, Mg/m³: 9.00
ΔH_f (0 K), eV/atom: -0.2425


[5]
A relaxed structure of CeThTcPd, computed with PBE.

The structure in CIF format:
```
data_CeThTcPd
_cell_length_a 7.1034
_cell_length_b 7.1034
_cell_length_c 7.1034
_cell_angle_alpha 90.00
_cell_angle_beta 90.00
_cell_angle_gamma 90.00
_symmetry_space_group_name_H-M 'F -4 3 m'
_symmetry_Int_Tables_number 216
_symmetry_space_group_name_Hall 'F -4 2 3'
loop_
_atom_site_label
_atom_site_type_symbol
_atom_site_fract_x
_atom_site_fract_y
_atom_site_fract_z
Ce1 Ce 0.0000 0.0000 0.0000
Th1 Th 0.0000 0.0000 0.5000
Tc1 Tc 0.2500 0.2500 0.7500
Pd1 Pd 0.2500 0.2500 0.2500
```

Size of the total moment, μB/f.u.: 0.4
V, Å³ per cell: 358
Mass density, Mg/m³: 10.68
ΔH_f (0 K), eV/atom: -0.3271


[6]
A relaxed structure of CeTmTcPd, computed with PBE.

The structure in CIF format:
```
data_CeTmTcPd
_cell_length_a 6.9210
_cell_length_b 6.9210
_cell_length_c 6.9210
_cell_angle_alpha 90.00
_cell_angle_beta 90.00
_cell_angle_gamma 90.00
_symmetry_space_group_name_H-M 'F -4 3 m'
_symmetry_Int_Tables_number 216
_symmetry_space_group_name_Hall 'F -4 2 3'
loop_
_atom_site_label
_atom_site_type_symbol
_atom_site_fract_x
_atom_site_fract_y
_atom_site_fract_z
Ce1 Ce 0.0000 0.0000 0.0000
Tm1 Tm 0.0000 0.0000 0.5000
Tc1 Tc 0.2500 0.2500 0.2500
Pd1 Pd 0.2500 0.2500 0.7500
```

Size of the total moment, μB/f.u.: 0.0
V, Å³ per cell: 332
Mass density, Mg/m³: 10.29
ΔH_f (0 K), eV/atom: -0.4011